## DyLuZnAg (PBE)

Data for a relaxed DyLuZnAg crystal. Values from VASP.

Results
- Space-group type: F-43m
- V: 22.7 Å³ per atom
- VASP energy: -14.57 eV/cell

Cell and atoms, written as Quantum ESPRESSO input:
```
&SYSTEM
  ibrav = 0, nat = 4, ntyp = 4
/
ATOMIC_SPECIES
Zn 65.41 Zn.upf
Lu 174.97 Lu.upf
Ag 107.87 Ag.upf
Dy 162.50 Dy.upf
ATOMIC_POSITIONS angstrom
Zn 7.568 4.369 3.090
Lu 5.045 2.913 2.060
Ag 2.523 1.456 1.030
Dy 0.000 0.000 0.000
CELL_PARAMETERS angstrom
5.045 0.000 0.000
2.523 4.369 0.000
2.523 1.456 4.120
```



## YHfPa2P4 (PBE)

Data for a relaxed YHfPa2P4 crystal. Values from VASP.

Results
- Space-group type: P2/m
- V: 21.0 Å³ per atom
- VASP energy: -67.99 eV/cell

Cell and atoms, written as Quantum ESPRESSO input:
```
&SYSTEM
  ibrav = 0, nat = 8, ntyp = 4
/
ATOMIC_SPECIES
Y 88.91 Y.upf
Hf 178.49 Hf.upf
Pa 231.04 Pa.upf
P 30.97 P.upf
ATOMIC_POSITIONS angstrom
Y 1.065 -2.048 3.163
Hf 0.000 0.000 0.000
Pa -1.755 2.617 2.287
Pa 2.013 1.715 2.849
P -0.391 0.248 2.661
P 1.715 2.037 5.638
P 0.566 4.101 2.395
P 3.461 -0.670 3.302
CELL_PARAMETERS angstrom
-2.704 -1.146 2.601
4.833 -2.950 3.725
-0.806 6.380 1.972
```



## Th2TcH (PBE)

Data for a relaxed Th2TcH crystal. Values from VASP.

Results
- Space-group type: R-3m
- V: 21.6 Å³ per atom
- VASP energy: -29.09 eV/cell

Cell and atoms, written as Quantum ESPRESSO input:
```
&SYSTEM
  ibrav = 0, nat = 4, ntyp = 3
/
ATOMIC_SPECIES
H 1.01 H.upf
Tc 98.00 Tc.upf
Th 232.04 Th.upf
ATOMIC_POSITIONS angstrom
H -4.122 2.904 2.427
Tc 0.000 0.000 0.000
Th -2.099 1.426 1.251
Th -6.145 4.382 3.602
CELL_PARAMETERS angstrom
-0.435 3.582 2.019
-2.936 2.676 -1.146
-4.873 -0.449 3.980
```



## Cu3AgBr (PBE)

Data for a relaxed Cu3AgBr crystal. Values from VASP.

Results
- Space-group type: Pm-3m
- V: 22.4 Å³ per atom
- Formation energy (no corrections): 4.3 eV per formula unit

Cell and atoms, written as Quantum ESPRESSO input:
```
&SYSTEM
  ibrav = 0, nat = 5, ntyp = 3
/
ATOMIC_SPECIES
Cu 63.55 Cu.upf
Br 79.90 Br.upf
Ag 107.87 Ag.upf
ATOMIC_POSITIONS angstrom
Cu 0.000 2.412 0.000
Cu 0.000 0.000 2.412
Cu 2.412 0.000 0.000
Br 2.412 2.412 2.412
Ag 0.000 0.000 0.000
CELL_PARAMETERS angstrom
4.823 0.000 0.000
0.000 4.823 0.000
0.000 0.000 4.823
```



## P2OsPt (PBE)

Data for a relaxed P2OsPt crystal. Values from VASP.

Results
- Space-group type: C2/m
- V: 14.2 Å³ per atom
- VASP energy: -27.99 eV/cell

Cell and atoms, written as Quantum ESPRESSO input:
```
&SYSTEM
  ibrav = 0, nat = 4, ntyp = 3
/
ATOMIC_SPECIES
P 30.97 P.upf
Os 190.23 Os.upf
Pt 195.08 Pt.upf
ATOMIC_POSITIONS angstrom
P 0.522 -3.313 3.134
P 3.700 -4.912 0.526
Os 2.558 -2.833 -0.293
Pt -0.447 -1.279 2.123
CELL_PARAMETERS angstrom
1.545 -3.673 -1.012
3.571 -1.994 0.426
-0.894 -2.559 4.246
```



## Tb2Cd2Cu15 (PBE)

Data for a relaxed Tb2Cd2Cu15 crystal. Values from VASP.

Results
- Space-group type: R-3m
- V: 14.8 Å³ per atom
- VASP energy: -74.47 eV/cell

Cell and atoms, written as Quantum ESPRESSO input:
```
&SYSTEM
  ibrav = 0, nat = 19, ntyp = 3
/
ATOMIC_SPECIES
Tb 158.93 Tb.upf
Cd 112.41 Cd.upf
Cu 63.55 Cu.upf
ATOMIC_POSITIONS angstrom
Tb -1.514 -3.437 -2.474
Tb -2.774 -6.298 -4.533
Cd -0.458 -1.039 -0.748
Cd -3.830 -8.695 -6.258
Cu -2.042 -0.013 -2.592
Cu -1.760 -2.644 0.892
Cu 1.658 -2.210 -1.803
Cu 1.225 -4.686 -1.958
Cu -1.820 -1.370 -4.701
Cu -3.693 -3.679 -0.347
Cu 1.053 -3.076 -4.089
Cu -3.911 -1.636 -3.052
Cu -1.429 -5.023 0.135
Cu -0.794 -6.319 -2.025
Cu -1.069 -3.748 -5.429
Cu -4.409 -4.172 -2.795
Cu -3.494 -3.416 -4.981
Cu -3.218 -5.987 -1.578
Cu 0.122 -5.562 -4.211
CELL_PARAMETERS angstrom
-4.084 -0.026 -5.183
3.317 -4.420 -3.607
-3.520 -5.289 1.784
```



## Sr6Ag2RhN (PBE)

Data for a relaxed Sr6Ag2RhN crystal. Values from VASP.

Results
- Space-group type: P2_1/c
- V: 31.8 Å³ per atom
- Formation energy (no corrections): -2.8 eV per formula unit

Cell and atoms, written as Quantum ESPRESSO input:
```
&SYSTEM
  ibrav = 0, nat = 20, ntyp = 4
/
ATOMIC_SPECIES
Sr 87.62 Sr.upf
Ag 107.87 Ag.upf
Rh 102.91 Rh.upf
N 14.01 N.upf
ATOMIC_POSITIONS angstrom
Sr 2.205 5.449 0.541
Sr 5.941 6.637 5.969
Sr 5.267 2.608 10.316
Sr 1.531 1.420 4.888
Sr 2.506 5.696 4.867
Sr 6.243 6.390 10.296
Sr 4.966 2.361 5.990
Sr 1.230 1.667 0.561
Sr 6.575 4.230 2.599
Sr 2.996 7.857 7.962
Sr 0.897 3.828 8.258
Sr 4.476 0.201 2.895
Ag 0.365 7.309 2.713
Ag 4.101 4.777 8.142
Ag 7.108 0.749 8.144
Ag 3.372 3.280 2.715
Rh 3.657 0.000 0.033
Rh 0.079 4.029 5.396
N 3.736 0.000 5.429
N 0.000 4.029 0.000
CELL_PARAMETERS angstrom
7.315 0.000 0.066
0.000 8.058 0.000
0.157 0.000 10.791
```



## Fe2HgSb2 (PBE)

Data for a relaxed Fe2HgSb2 crystal. Values from VASP.

Results
- Space-group type: P4/mbm
- V: 19.0 Å³ per atom
- Formation energy (no corrections): 1.3 eV per formula unit

Cell and atoms, written as Quantum ESPRESSO input:
```
&SYSTEM
  ibrav = 0, nat = 10, ntyp = 3
/
ATOMIC_SPECIES
Sb 121.76 Sb.upf
Hg 200.59 Hg.upf
Fe 55.84 Fe.upf
ATOMIC_POSITIONS angstrom
Sb 1.160 4.781 1.816
Sb 4.781 6.081 1.816
Sb 6.081 2.460 1.816
Sb 2.460 1.160 1.816
Hg 0.000 0.000 0.000
Hg 3.620 3.620 0.000
Fe 2.717 6.338 0.000
Fe 6.338 4.524 0.000
Fe 4.524 0.903 0.000
Fe 0.903 2.717 0.000
CELL_PARAMETERS angstrom
7.241 0.000 0.000
0.000 7.241 0.000
0.000 0.000 3.632
```